Entry 1:
## SrCo4As (PBE)

Data for a geometry-optimized SrCo4As structure.

The calculation puts the formation energy at 0.28 eV/atom. The density of states at the Fermi level is 1.1847 states/eV/atom.

The structure belongs to space group F-43m (No. 216); the cell edges are 7.175, 7.175 and 7.175 Å and the angles 90.00°, 90.00° and 90.00°. The distinct sites, in fractional coordinates, are Sr at (0.000, 0.000, 0.000), Co at (0.124, 0.124, 0.376) and As at (0.250, 0.250, 0.750).

---

Entry 2:
## Pm6Si5Ge (PBE)

Data for a geometry-optimized Pm6Si5Ge structure.

The energy relative to the elements, uncorrected comes out at -5.743 eV per formula unit. The density of states at the Fermi level is 0.9909 states/eV/atom.

The structure belongs to space group C2/m (No. 12); the cell edges are 7.383, 12.620 and 7.307 Å and the angles 90.00°, 109.15° and 90.00°. The distinct sites, in fractional coordinates, are Pm at (0.248, 0.000, 0.251), Pm at (0.248, 0.168, 0.748), Si at (0.000, 0.000, 0.500), Si at (0.000, 0.167, 0.000), Si at (0.000, 0.335, 0.500) and Ge at (0.000, 0.500, 0.000).

---

Entry 3:
## BeVPt3 (PBE)

Data for a geometry-optimized BeVPt3 structure.

The calculation puts the formation energy at 1.05 eV/atom. The density of states at the Fermi level is 0.9520 states/eV/atom.

The structure belongs to space group Pm-3m (No. 221); the cell edges are 4.609, 4.609 and 4.609 Å and the angles 90.00°, 90.00° and 90.00°. The distinct sites, in fractional coordinates, are Be at (0.000, 0.000, 0.000), V at (0.500, 0.500, 0.500) and Pt at (0.000, 0.500, 0.500).

---

Entry 4:
## AlTcRu2 (PBE)

Data for a geometry-optimized AlTcRu2 structure.

As for the energy relative to the lowest polymorph listed for this composition: 11.99 kJ per mole of atoms. The calculation puts the formation energy at -0.18 eV/atom. The density of states at the Fermi level is 0.8589 states/eV/atom.

The structure belongs to space group Pmmm (No. 47); the cell edges are 2.798, 3.648 and 5.545 Å and the angles 90.00°, 90.00° and 90.00°. The distinct sites, in fractional coordinates, are Al at (0.000, 0.000, 0.000), Tc at (0.000, 0.000, 0.500) and Ru at (0.500, 0.500, 0.249).

---

Entry 5:
## SiRuCl2 (PBE)

Data for a geometry-optimized SiRuCl2 structure.

The energy relative to the elements, uncorrected comes out at -0.269 eV per formula unit. As for the energy relative to the lowest polymorph listed for this composition: 22.37 kJ per mole of atoms. The density of states at the Fermi level is 0.5909 states/eV/atom.

The structure belongs to space group C2/m (No. 12); the cell edges are 14.835, 3.024 and 3.964 Å and the angles 90.00°, 95.44° and 90.00°. The distinct sites, in fractional coordinates, are Si at (0.000, 0.000, 0.000), Ru at (0.000, 0.500, 0.500) and Cl at (0.138, 0.000, 0.716).

---

Entry 6:
## MnHgRu2 (PBE)

Data for a geometry-optimized MnHgRu2 structure.

The calculation puts the formation energy at 0.27 eV/atom. The density of states at the Fermi level is 0.7872 states/eV/atom.

The structure belongs to space group P4mm (No. 99); the cell edges are 2.840, 2.840 and 7.883 Å and the angles 90.00°, 90.00° and 90.00°. The distinct sites, in fractional coordinates, are Mn at (0.000, 0.000, 0.000), Hg at (0.500, 0.500, 0.724), Ru at (0.000, 0.000, 0.444) and Ru at (0.500, 0.500, 0.236).

---

Entry 7:
## ErMg3 (PBE)

Data for a geometry-optimized ErMg3 structure.

The calculation puts the formation energy at -0.05 eV/atom. The density of states at the Fermi level is 0.9468 states/eV/atom.

The structure belongs to space group P6_3/mmc (No. 194); the cell edges are 6.6536, 6.6536 and 5.1704 Å and the angles 90.00°, 90.00° and 120.00°. The distinct sites, in fractional coordinates, are Er at (0.3333, 0.6667, 0.2500) and Mg at (0.1634, 0.3269, 0.7500).

---

Entry 8:
## Pu2Be3NiP4 (PBE)

Data for a geometry-optimized Pu2Be3NiP4 structure.

The calculation puts the formation energy at -0.59 eV/atom. The density of states at the Fermi level is 1.3642 states/eV/atom.

The structure belongs to space group P-4m2 (No. 115); the cell edges are 4.000, 4.000 and 8.730 Å and the angles 90.00°, 90.00° and 90.00°. The distinct sites, in fractional coordinates, are Pu at (0.000, 0.500, 0.234), Be at (0.000, 0.500, 0.887), Be at (0.500, 0.500, 0.500), Ni at (0.000, 0.000, 0.500), P at (0.000, 0.000, 0.000), P at (0.000, 0.500, 0.637) and P at (0.500, 0.500, 0.000).